The following is a DFT calculation (PBE-GGA) of a relaxed IrIN2 crystal.

Structure (CIF):
```
data_IrIN2
_chemical_formula_sum 'Ir4 I4 N8'
_symmetry_space_group_name_H-M 'F m -3 m'
_symmetry_Int_Tables_number 225
_symmetry_space_group_name_Hall '-F 4 2 3'
_cell_length_a 5.8399
_cell_length_b 5.8399
_cell_length_c 5.8399
_cell_angle_alpha 90.00
_cell_angle_beta 90.00
_cell_angle_gamma 90.00
loop_
_atom_site_label
_atom_site_fract_x
_atom_site_fract_y
_atom_site_fract_z
_atom_site_occupancy
Ir1 0.0000 0.0000 0.0000 1
I1 0.0000 0.0000 0.5000 1
N1 0.2500 0.2500 0.2500 1
```

Summary:
Formation energy without anion corrections ... 9.14 eV/f.u.
Fermi-level density of states ... 0.69 states/eV/atom
Energy above the most stable polymorph in this dataset ... 1.3192 eV/atom
Magnetic moment ... 0.0 μB per formula unit

The following is a DFT calculation (PBE-GGA) of a relaxed YAl3Tl crystal.

Structure (CIF):
```
data_YAl3Tl
_chemical_formula_sum 'Y1 Al3 Tl1'
_symmetry_space_group_name_H-M 'P m -3 m'
_symmetry_Int_Tables_number 221
_symmetry_space_group_name_Hall '-P 4 2 3'
_cell_length_a 5.1973
_cell_length_b 5.1973
_cell_length_c 5.1973
_cell_angle_alpha 90.00
_cell_angle_beta 90.00
_cell_angle_gamma 90.00
loop_
_atom_site_label
_atom_site_fract_x
_atom_site_fract_y
_atom_site_fract_z
_atom_site_occupancy
Y1 0.0000 0.0000 0.0000 1
Al1 0.0000 0.5000 0.5000 1
Tl1 0.5000 0.5000 0.5000 1
```

Summary:
Fermi-level density of states ... 0.65 states/eV/atom
Energy of formation ... 66.67 kJ/mol of atoms
Energy above the most stable polymorph in this dataset ... 0.0000 eV/atom
Magnetic moment ... 0.0 μB per formula unit

The following is a DFT calculation (PBE-GGA) of a relaxed Zr3CuRu crystal.

Structure (CIF):
```
data_Zr3CuRu
_chemical_formula_sum 'Zr3 Cu1 Ru1'
_symmetry_space_group_name_H-M 'P m -3 m'
_symmetry_Int_Tables_number 221
_symmetry_space_group_name_Hall '-P 4 2 3'
_cell_length_a 4.8080
_cell_length_b 4.8080
_cell_length_c 4.8080
_cell_angle_alpha 90.00
_cell_angle_beta 90.00
_cell_angle_gamma 90.00
loop_
_atom_site_label
_atom_site_fract_x
_atom_site_fract_y
_atom_site_fract_z
_atom_site_occupancy
Zr1 0.0000 0.0000 0.5000 1
Cu1 0.0000 0.0000 0.0000 1
Ru1 0.5000 0.5000 0.5000 1
```

Summary:
Fermi-level density of states ... 1.57 states/eV/atom
Energy of formation ... 75.20 kJ/mol of atoms
Energy above the most stable polymorph in this dataset ... 1.0776 eV/atom
Magnetic moment ... 0.0 μB per formula unit

The following is a DFT calculation (PBE-GGA) of a relaxed Na5SnO4 crystal.

Structure (CIF):
```
data_Na5SnO4
_chemical_formula_sum 'Na10 Sn2 O8'
_symmetry_space_group_name_H-M 'C 1 2/m 1'
_symmetry_Int_Tables_number 12
_symmetry_space_group_name_Hall '-C 2y'
_cell_length_a 14.2709
_cell_length_b 3.3608
_cell_length_c 6.7501
_cell_angle_alpha 90.00
_cell_angle_beta 100.31
_cell_angle_gamma 90.00
loop_
_atom_site_label
_atom_site_fract_x
_atom_site_fract_y
_atom_site_fract_z
_atom_site_occupancy
Na1 0.0000 0.0000 0.0000 1
Na2 0.1583 0.5000 0.7992 1
Na3 0.1751 0.5000 0.3619 1
Sn1 0.0000 0.0000 0.5000 1
O1 0.0061 0.5000 0.2809 1
O2 0.1475 0.0000 0.5722 1
```

Summary:
Formation energy without anion corrections ... -13.39 eV/f.u.
Fermi-level density of states ... 0.11 states/eV/atom
Magnetic moment ... 0.0 μB per formula unit

The following is a DFT calculation (PBE-GGA) of a relaxed Nd5AuSe5 crystal.

Structure (CIF):
```
data_Nd5AuSe5
_chemical_formula_sum 'Nd10 Au2 Se10'
_symmetry_space_group_name_H-M 'C 1 2/m 1'
_symmetry_Int_Tables_number 12
_symmetry_space_group_name_Hall '-C 2y'
_cell_length_a 13.3932
_cell_length_b 6.0268
_cell_length_c 8.5395
_cell_angle_alpha 90.00
_cell_angle_beta 108.35
_cell_angle_gamma 90.00
loop_
_atom_site_label
_atom_site_fract_x
_atom_site_fract_y
_atom_site_fract_z
_atom_site_occupancy
Nd1 0.0000 0.0000 0.0000 1
Nd2 0.1620 0.5000 0.8264 1
Nd3 0.1666 0.5000 0.3410 1
Au1 0.0000 0.5000 0.0000 1
Se1 0.0000 0.5000 0.5000 1
Se2 0.1710 0.0000 0.8398 1
Se3 0.1717 0.0000 0.3323 1
```

Summary:
Formation energy without anion corrections ... -18.04 eV/f.u.
Fermi-level density of states ... 0.79 states/eV/atom
Magnetic moment ... 0.0 μB per formula unit

The following is a DFT calculation (PBE-GGA) of a relaxed CoRu2Pt crystal.

Structure (CIF):
```
data_CoRu2Pt
_chemical_formula_sum 'Co2 Ru4 Pt2'
_symmetry_space_group_name_H-M 'C m m m'
_symmetry_Int_Tables_number 65
_symmetry_space_group_name_Hall '-C 2 2'
_cell_length_a 5.3329
_cell_length_b 7.6483
_cell_length_c 2.6857
_cell_angle_alpha 90.00
_cell_angle_beta 90.00
_cell_angle_gamma 90.00
loop_
_atom_site_label
_atom_site_fract_x
_atom_site_fract_y
_atom_site_fract_z
_atom_site_occupancy
Co1 0.0000 0.0000 0.0000 1
Ru1 0.2500 0.2500 0.5000 1
Pt1 0.0000 0.5000 0.0000 1
```

Summary:
Fermi-level density of states ... 1.45 states/eV/atom
Energy of formation ... 14.19 kJ/mol of atoms
Energy above the most stable polymorph in this dataset ... 0.0984 eV/atom
Magnetic moment ... 1.5 μB per formula unit

The following is a DFT calculation (PBE-GGA) of a relaxed TlInOs2 crystal.

Structure (CIF):
```
data_TlInOs2
_chemical_formula_sum 'Tl1 In1 Os2'
_symmetry_space_group_name_H-M 'P 4 m m'
_symmetry_Int_Tables_number 99
_symmetry_space_group_name_Hall 'P 4 -2'
_cell_length_a 2.9454
_cell_length_b 2.9454
_cell_length_c 8.9067
_cell_angle_alpha 90.00
_cell_angle_beta 90.00
_cell_angle_gamma 90.00
loop_
_atom_site_label
_atom_site_fract_x
_atom_site_fract_y
_atom_site_fract_z
_atom_site_occupancy
Tl1 0.0000 0.0000 0.0000 1
In1 0.5000 0.5000 0.3314 1
Os1 0.0000 0.0000 0.5677 1
Os2 0.5000 0.5000 0.7431 1
```

Summary:
Fermi-level density of states ... 0.51 states/eV/atom
Energy of formation ... 45.41 kJ/mol of atoms
Energy above the most stable polymorph in this dataset ... 0.0537 eV/atom
Magnetic moment ... 0.0 μB per formula unit

The following is a DFT calculation (PBE-GGA) of a relaxed Li3ScHg crystal.

Structure (CIF):
```
data_Li3ScHg
_chemical_formula_sum 'Li3 Sc1 Hg1'
_symmetry_space_group_name_H-M 'P m -3 m'
_symmetry_Int_Tables_number 221
_symmetry_space_group_name_Hall '-P 4 2 3'
_cell_length_a 4.8637
_cell_length_b 4.8637
_cell_length_c 4.8637
_cell_angle_alpha 90.00
_cell_angle_beta 90.00
_cell_angle_gamma 90.00
loop_
_atom_site_label
_atom_site_fract_x
_atom_site_fract_y
_atom_site_fract_z
_atom_site_occupancy
Li1 0.0000 0.0000 0.5000 1
Sc1 0.5000 0.5000 0.5000 1
Hg1 0.0000 0.0000 0.0000 1
```

Summary:
Fermi-level density of states ... 0.75 states/eV/atom
Energy of formation ... 20.37 kJ/mol of atoms
Energy above the most stable polymorph in this dataset ... 0.0000 eV/atom
Magnetic moment ... 0.0 μB per formula unit

The following is a DFT calculation (PBE-GGA) of a relaxed YTl2Se2 crystal.

Structure (CIF):
```
data_YTl2Se2
_chemical_formula_sum 'Y2 Tl4 Se4'
_symmetry_space_group_name_H-M 'P 4/m b m'
_symmetry_Int_Tables_number 127
_symmetry_space_group_name_Hall '-P 4 2ab'
_cell_length_a 7.6245
_cell_length_b 7.6245
_cell_length_c 5.1126
_cell_angle_alpha 90.00
_cell_angle_beta 90.00
_cell_angle_gamma 90.00
loop_
_atom_site_label
_atom_site_fract_x
_atom_site_fract_y
_atom_site_fract_z
_atom_site_occupancy
Y1 0.0000 0.0000 0.0000 1
Tl1 0.1541 0.3459 0.5000 1
Se1 0.1725 0.6725 0.0000 1
```

Summary:
Formation energy without anion corrections ... -3.75 eV/f.u.
Fermi-level density of states ... 0.38 states/eV/atom
Energy above the most stable polymorph in this dataset ... 0.2595 eV/atom
Magnetic moment ... 0.0 μB per formula unit

The following is a DFT calculation (PBE-GGA) of a relaxed Ce2ErRu3 crystal.

Structure (CIF):
```
data_Ce2ErRu3
_chemical_formula_sum 'Ce4 Er2 Ru6'
_symmetry_space_group_name_H-M 'P -3 m 1'
_symmetry_Int_Tables_number 164
_symmetry_space_group_name_Hall '-P 3 2"'
_cell_length_a 4.8852
_cell_length_b 4.8852
_cell_length_c 11.7026
_cell_angle_alpha 90.00
_cell_angle_beta 90.00
_cell_angle_gamma 120.00
loop_
_atom_site_label
_atom_site_fract_x
_atom_site_fract_y
_atom_site_fract_z
_atom_site_occupancy
Ce1 0.0000 0.0000 0.0000 1
Ce2 0.0000 0.0000 0.5000 1
Ce3 0.3333 0.6667 0.1706 1
Er1 0.3333 0.6667 0.6651 1
Ru1 0.0000 0.0000 0.2515 1
Ru2 0.3333 0.6667 0.4153 1
Ru3 0.3333 0.6667 0.9213 1
```

Summary:
Fermi-level density of states ... 0.65 states/eV/atom
Energy of formation ... -35.33 kJ/mol of atoms
Energy above the most stable polymorph in this dataset ... 0.0000 eV/atom
Magnetic moment ... 0.0 μB per formula unit

The following is a DFT calculation (PBE-GGA) of a relaxed Ta2OsI2 crystal.

Structure (CIF):
```
data_Ta2OsI2
_chemical_formula_sum 'Ta4 Os2 I4'
_symmetry_space_group_name_H-M 'P 4/m b m'
_symmetry_Int_Tables_number 127
_symmetry_space_group_name_Hall '-P 4 2ab'
_cell_length_a 7.8335
_cell_length_b 7.8335
_cell_length_c 3.2504
_cell_angle_alpha 90.00
_cell_angle_beta 90.00
_cell_angle_gamma 90.00
loop_
_atom_site_label
_atom_site_fract_x
_atom_site_fract_y
_atom_site_fract_z
_atom_site_occupancy
Ta1 0.1535 0.3465 0.0000 1
Os1 0.0000 0.0000 0.5000 1
I1 0.1494 0.6494 0.5000 1
```

Summary:
Formation energy without anion corrections ... 7.60 eV/f.u.
Fermi-level density of states ... 1.08 states/eV/atom
Energy above the most stable polymorph in this dataset ... 0.0000 eV/atom
Magnetic moment ... 0.0 μB per formula unit

The following is a DFT calculation (PBE-GGA) of a relaxed Ti4MnTe8 crystal.

Structure (CIF):
```
data_Ti4MnTe8
_chemical_formula_sum 'Ti16 Mn4 Te32'
_symmetry_space_group_name_H-M 'F -4 3 m'
_symmetry_Int_Tables_number 216
_symmetry_space_group_name_Hall 'F -4 2 3'
_cell_length_a 11.3476
_cell_length_b 11.3476
_cell_length_c 11.3476
_cell_angle_alpha 90.00
_cell_angle_beta 90.00
_cell_angle_gamma 90.00
loop_
_atom_site_label
_atom_site_fract_x
_atom_site_fract_y
_atom_site_fract_z
_atom_site_occupancy
Ti1 0.1120 0.1120 0.1120 1
Mn1 0.0000 0.0000 0.5000 1
Te1 0.1287 0.1287 0.8713 1
Te2 0.1346 0.1346 0.3654 1
```

Summary:
Formation energy without anion corrections ... -7.56 eV/f.u.
Fermi-level density of states ... 0.70 states/eV/atom
Energy above the most stable polymorph in this dataset ... 0.0066 eV/atom
Magnetic moment ... 6.9 μB per formula unit